DFT (GGA-PBE) results for an optimized crystal structure of ReSb2Ru.

a = 8.4084 Å, b = 8.4084 Å, c = 8.4084 Å
α = 21.88°, β = 21.88°, γ = 21.88°
Fractional positions:
1 Re 0.0000 0.0000 0.0000
2 Sb 0.2490 0.2490 0.2490
3 Sb 0.7510 0.7510 0.7510
4 Ru 0.5000 0.5000 0.5000

space group = R-3m, No. 166
energy relative to the elements, uncorrected = 0.40 eV per atom
Fermi-level density of states = 0.98 states/eV/atom
magnetization = 0.00 Bohr magnetons per cell
total DFT energy (no corrections) = -7.09 eV/atom
relative energy among the computed polymorphs = 205.5 meV per atom